Density functional theory data (GGA-PBE) for a relaxed structure of SmLuIn5.

Properties
* total magnetic moment: 0.00 μB per formula unit
* V: 187 Å³ per cell
* energy: -3.58 eV per atom
* density: 8.0 Mg/m³

The structure in POSCAR format:
```
SmLuIn5
1.0
4.725 0.000 0.000
0.000 4.725 0.000
0.000 0.000 8.375
In Lu Sm
5 1 1
Direct
0.500 0.500 0.000
0.500 0.000 0.273
0.000 0.500 0.273
0.500 0.000 0.727
0.000 0.500 0.727
0.000 0.000 0.500
0.000 0.000 0.000
```